# 1
The following is a PBE calculation of an optimized crystal structure of MnCrSi2, from Alexandria.

The value obtained for the total energy is -7.580 eV/atom.

The structure belongs to space group Pmmm (No. 47); the cell edges are 3.2735, 3.5982 and 4.0634 Å and the angles 90.00°, 90.00° and 90.00°. The inequivalent atoms are Mn at (0.0000, 0.0000, 0.0000), Cr at (0.0000, 0.5000, 0.5000), Si at (0.5000, 0.0000, 0.5000) and Si at (0.5000, 0.5000, 0.0000).

# 2
The following is a PBE calculation of an optimized crystal structure of MnCrSi3, from Alexandria.

Its polymorph energy (0 for the lowest one) is 0.000 eV/atom. The value obtained for the total energy is -6.491 eV/atom.

The structure belongs to space group Pm-3m (No. 221); the cell edges are 4.3826, 4.3826 and 4.3826 Å and the angles 90.00°, 90.00° and 90.00°. The inequivalent atoms are Mn at (0.0000, 0.0000, 0.0000), Cr at (0.5000, 0.5000, 0.5000) and Si at (0.0000, 0.0000, 0.5000).

# 3
The following is a PBE calculation of an optimized crystal structure of MnCr2Si, from Alexandria.

The value obtained for the total energy is -7.992 eV/atom.

The structure belongs to space group I-42d (No. 122); the cell edges are 6.4463, 6.4463 and 4.8541 Å and the angles 90.00°, 90.00° and 90.00°. The inequivalent atoms are Mn at (0.0000, 0.0000, 0.0000), Cr at (0.2167, 0.7500, 0.1250) and Si at (0.0000, 0.0000, 0.5000).

# 4
The following is a PBE calculation of an optimized crystal structure of TaMnCrSi, from Alexandria.

The value obtained for the total energy is -9.294 eV/atom.

The structure belongs to space group F-43m (No. 216); the cell edges are 5.9340, 5.9340 and 5.9340 Å and the angles 90.00°, 90.00° and 90.00°. The inequivalent atoms are Ta at (0.0000, 0.0000, 0.0000), Mn at (0.2500, 0.2500, 0.2500), Cr at (0.2500, 0.2500, 0.7500) and Si at (0.0000, 0.0000, 0.5000).

# 5
The following is a PBE calculation of an optimized crystal structure of Mn5CrSi2Tc2, from Alexandria.

The value obtained for the total energy is -8.732 eV/atom.

The structure belongs to space group P4/mbm (No. 127); the cell edges are 9.0849, 9.0849 and 2.9179 Å and the angles 90.00°, 90.00° and 90.00°. The inequivalent atoms are Mn at (0.0000, 0.5000, 0.0000), Mn at (0.0442, 0.1961, 0.0000), Cr at (0.0000, 0.0000, 0.5000), Si at (0.1307, 0.3693, 0.5000) and Tc at (0.1794, 0.6794, 0.5000).

# 6
The following is a PBE calculation of an optimized crystal structure of MnCr2SiTe, from Alexandria.

The value obtained for the total energy is -6.321 eV/atom.

The structure belongs to space group P4/mmm (No. 123); the cell edges are 4.6251, 4.6251 and 5.4861 Å and the angles 90.00°, 90.00° and 90.00°. The inequivalent atoms are Mn at (0.0000, 0.0000, 0.0000), Cr at (0.0000, 0.5000, 0.5000), Si at (0.5000, 0.5000, 0.5000) and Te at (0.5000, 0.5000, 0.0000).

# 7
The following is a PBE calculation of an optimized crystal structure of ThMnCrSi2, from Alexandria.

The value obtained for the total energy is -7.934 eV/atom.

The structure belongs to space group I-4m2 (No. 119); the cell edges are 4.0448, 4.0448 and 10.3320 Å and the angles 90.00°, 90.00° and 90.00°. The inequivalent atoms are Th at (0.0000, 0.0000, 0.0000), Mn at (0.0000, 0.5000, 0.7500), Cr at (0.0000, 0.5000, 0.2500) and Si at (0.0000, 0.0000, 0.3754).

# 8
The following is a PBE calculation of an optimized crystal structure of TiMnCrSi, from Alexandria.

The value obtained for the total energy is -8.436 eV/atom.

The structure belongs to space group F-43m (No. 216); the cell edges are 5.8600, 5.8600 and 5.8600 Å and the angles 90.00°, 90.00° and 90.00°. The inequivalent atoms are Ti at (0.0000, 0.0000, 0.0000), Mn at (0.2500, 0.2500, 0.2500), Cr at (0.2500, 0.2500, 0.7500) and Si at (0.0000, 0.0000, 0.5000).

Magnetization (computed, μB/f.u.): 3.15 5.44 0.00 2.00 0.00 12.10 3.54 2.99